# 1
First-principles (PBE-GGA) data for a relaxed structure of DyZrCu4, as listed in Alexandria via LeMat-Bulk.

CIF file:
```
data_DyZrCu4
_chemical_formula_sum 'Dy1 Zr1 Cu4'
_cell_length_a 3.1785
_cell_length_b 4.2733
_cell_length_c 7.4169
_cell_angle_alpha 90.00
_cell_angle_beta 90.00
_cell_angle_gamma 90.00
_space_group_name_H-M_alt 'P m m m'
_space_group_IT_number 47
loop_
_space_group_symop_operation_xyz
'x,y,z'
'-x,-y,-z'
'-x,-y,z'
'x,y,-z'
'x,-y,-z'
'-x,y,z'
'-x,y,-z'
'x,-y,z'
loop_
_atom_site_label
_atom_site_fract_x
_atom_site_fract_y
_atom_site_fract_z
Dy1 0.0000 0.0000 0.0000
Zr1 0.0000 0.5000 0.5000
Cu1 0.5000 0.0000 0.3377
Cu2 0.5000 0.5000 0.1715
```

Summary:
* polymorph energy (0 for the lowest one): 0.00 eV per formula unit

# 2
First-principles (PBE-GGA) data for a relaxed structure of NaTlCdCl4, as listed in Alexandria via LeMat-Bulk.

CIF file:
```
data_NaTlCdCl4
_chemical_formula_sum 'Na2 Tl2 Cd2 Cl8'
_cell_length_a 7.2335
_cell_length_b 7.3560
_cell_length_c 8.5488
_cell_angle_alpha 90.00
_cell_angle_beta 106.00
_cell_angle_gamma 90.00
_space_group_name_H-M_alt 'P 1 21/m 1'
_space_group_IT_number 11
loop_
_space_group_symop_operation_xyz
'x,y,z'
'-x,-y,-z'
'-x,y+1/2,-z'
'x,-y+1/2,z'
loop_
_atom_site_label
_atom_site_fract_x
_atom_site_fract_y
_atom_site_fract_z
Na1 0.2018 0.2500 0.0534
Tl1 0.2293 0.2500 0.5506
Cd1 0.2611 0.7500 0.8339
Cl1 0.0132 0.5008 0.7834
Cl2 0.4717 0.7500 0.6488
Cl3 0.4998 0.2500 0.8963
```

Summary:
* uncorrected formation energy: -1.2391 eV/atom